A geometry-optimized PmEuRh4 structure, computed with PBE-GGA. Values from VASP.

```
&SYSTEM
  ibrav = 0, nat = 6, ntyp = 3
/
ATOMIC_SPECIES
Pm 145.00 Pm.upf
Eu 151.96 Eu.upf
Rh 102.91 Rh.upf
ATOMIC_POSITIONS angstrom
Pm 0.000 0.000 0.000
Eu 5.733 5.733 5.733
Rh 2.866 2.866 2.866
Rh 4.777 4.777 2.866
Rh 4.777 2.866 4.777
Rh 2.866 4.777 4.777
CELL_PARAMETERS angstrom
0.000 3.822 3.822
3.822 0.000 3.822
3.822 3.822 0.000
```

Output
Its symmetry is F-43m, No. 216. As for the energy of formation: -572 meV/atom.

---

A geometry-optimized PmEuRh2 structure, computed with PBE-GGA. Values from VASP.

```
&SYSTEM
  ibrav = 0, nat = 4, ntyp = 3
/
ATOMIC_SPECIES
Pm 145.00 Pm.upf
Eu 151.96 Eu.upf
Rh 102.91 Rh.upf
ATOMIC_POSITIONS angstrom
Pm 0.000 0.000 0.000
Eu 3.514 3.514 3.514
Rh 1.757 1.757 1.757
Rh 5.271 5.271 5.271
CELL_PARAMETERS angstrom
0.000 3.514 3.514
3.514 0.000 3.514
3.514 3.514 0.000
```

Output
Its symmetry is Fm-3m, No. 225. As for the energy of formation: -515 meV/atom. Its energy above the lowest structure with this stoichiometry is 0.059 eV/f.u.

---

A geometry-optimized PmEuRuRh structure, computed with PBE-GGA. Values from VASP.

```
&SYSTEM
  ibrav = 0, nat = 4, ntyp = 4
/
ATOMIC_SPECIES
Pm 145.00 Pm.upf
Eu 151.96 Eu.upf
Ru 101.07 Ru.upf
Rh 102.91 Rh.upf
ATOMIC_POSITIONS angstrom
Pm 0.000 0.000 0.000
Eu 3.493 3.493 3.493
Ru 5.239 5.239 5.239
Rh 1.746 1.746 1.746
CELL_PARAMETERS angstrom
0.000 3.493 3.493
3.493 0.000 3.493
3.493 3.493 0.000
```

Output
Its symmetry is F-43m, No. 216. As for the energy of formation: -189 meV/atom.

---

A geometry-optimized PmEuSiRh structure, computed with PBE-GGA. Values from VASP.

```
&SYSTEM
  ibrav = 0, nat = 4, ntyp = 4
/
ATOMIC_SPECIES
Pm 145.00 Pm.upf
Eu 151.96 Eu.upf
Si 28.09 Si.upf
Rh 102.91 Rh.upf
ATOMIC_POSITIONS angstrom
Pm 0.000 0.000 0.000
Eu 3.577 3.577 3.577
Si 5.366 5.366 5.366
Rh 1.789 1.789 1.789
CELL_PARAMETERS angstrom
0.000 3.577 3.577
3.577 0.000 3.577
3.577 3.577 0.000
```

Output
For the formation energy (no corrections), the calculation gives -40.7 kJ per mole of atoms. Its symmetry is F-43m, No. 216.

---

A geometry-optimized PmEuTlRh structure, computed with PBE-GGA. Values from VASP.

```
&SYSTEM
  ibrav = 0, nat = 4, ntyp = 4
/
ATOMIC_SPECIES
Pm 145.00 Pm.upf
Eu 151.96 Eu.upf
Tl 204.38 Tl.upf
Rh 102.91 Rh.upf
ATOMIC_POSITIONS angstrom
Pm 0.000 0.000 0.000
Eu 3.716 3.716 3.716
Tl 5.573 5.573 5.573
Rh 1.858 1.858 1.858
CELL_PARAMETERS angstrom
0.000 3.716 3.716
3.716 0.000 3.716
3.716 3.716 0.000
```

Output
Its symmetry is F-43m, No. 216. As for the energy of formation: -352 meV/atom.

---

A geometry-optimized PmEuRu4 structure, computed with PBE-GGA. Values from VASP.

```
&SYSTEM
  ibrav = 0, nat = 6, ntyp = 3
/
ATOMIC_SPECIES
Pm 145.00 Pm.upf
Eu 151.96 Eu.upf
Ru 101.07 Ru.upf
ATOMIC_POSITIONS angstrom
Pm 0.000 0.000 0.000
Eu 5.733 5.733 5.733
Ru 2.867 2.867 2.867
Ru 4.777 4.777 2.867
Ru 4.777 2.867 4.777
Ru 2.867 4.777 4.777
CELL_PARAMETERS angstrom
0.000 3.822 3.822
3.822 0.000 3.822
3.822 3.822 0.000
```

Output
Its symmetry is F-43m, No. 216. As for the energy of formation: -51 meV/atom.